First-principles (PBE) data for crystalline POsRu at its relaxed geometry, as listed in the Alexandria database.

POSCAR file:
```
POsRu
1.0
-1.435 1.979 3.663
1.435 -1.979 3.663
1.435 1.979 -3.663
P Os Ru
1 1 1
Direct
0.000 0.000 0.000
0.678 0.678 0.000
0.322 0.322 0.000
```

Values from the calculation:
E = -25.11 eV/cell
Excess energy over the best structure of this formula in the dataset = 0.344 eV per atom
Calculated formation energy = 0.270 eV/atom

---

First-principles (PBE) data for crystalline POs2Ru at its relaxed geometry, as listed in the Alexandria database.

POSCAR file:
```
POs2Ru
1.0
-1.910 1.910 3.753
1.910 -1.910 3.753
1.910 1.910 -3.753
P Os Ru
1 2 1
Direct
0.000 0.000 0.000
0.500 0.500 0.000
0.750 0.250 0.500
0.250 0.750 0.500
```

Values from the calculation:
E = -35.78 eV/cell
Calculated formation energy = 0.341 eV/atom

---

First-principles (PBE) data for crystalline P2OsRu2 at its relaxed geometry, as listed in the Alexandria database.

POSCAR file:
```
P2OsRu2
1.0
6.829 0.000 0.000
0.000 6.829 0.000
0.000 0.000 2.818
P Os Ru
4 2 4
Direct
0.157 0.343 0.000
0.343 0.843 0.000
0.657 0.157 0.000
0.843 0.657 0.000
0.000 0.000 0.000
0.500 0.500 0.000
0.147 0.647 0.500
0.353 0.147 0.500
0.647 0.853 0.500
0.853 0.353 0.500
```

Values from the calculation:
E = -81.55 eV/cell
Calculated formation energy = -0.035 eV/atom

---

First-principles (PBE) data for crystalline POs2Ru at its relaxed geometry, as listed in the Alexandria database.

POSCAR file:
```
POs2Ru
1.0
2.867 -3.452 0.000
2.867 3.452 0.000
0.000 0.000 2.796
P Os Ru
1 2 1
Direct
0.000 0.000 0.000
0.000 0.500 0.500
0.500 0.000 0.500
0.500 0.500 0.000
```

Values from the calculation:
E = -35.48 eV/cell
Calculated formation energy = 0.416 eV/atom

---

Question: Which formula does entry 4 have?
Answer: POs2Ru